1.
Compound: BeRe2Os
Source: Alexandria via LeMat-Bulk
Functional: GGA-PBEsol
Structure: optimized geometry

Summary:
Crystal system ... orthorhombic
Space-group type ... Cmmm, No. 65
DFT total energy ... -10.46 eV per atom
Formation energy from the elements ... 260 meV/atom
Magnetization ... 0.0 Bohr magnetons per cell

a b c (Å): 2.728 4.658 4.658
angles (deg): 114.58 90.00 90.00
Atoms (fractional coordinates):
1 Re 0.000 0.500 0.000
2 Re 0.000 0.000 0.500
3 Os 0.500 0.500 0.500
4 Be 0.500 0.000 0.000


2.
Compound: Be4ReOs
Source: Alexandria via LeMat-Bulk
Functional: GGA-PBEsol
Structure: optimized geometry

Summary:
Crystal system ... cubic
Space-group type ... F-43m, No. 216
DFT total energy ... -7.23 eV per atom
Formation energy from the elements ... -303 meV/atom
Magnetization ... 0.0 Bohr magnetons per cell

a b c (Å): 4.335 4.335 4.335
angles (deg): 60.00 60.00 60.00
Atoms (fractional coordinates):
1 Re 0.000 0.000 0.000
2 Os 0.750 0.750 0.750
3 Be 0.878 0.374 0.374
4 Be 0.374 0.374 0.374
5 Be 0.374 0.374 0.878
6 Be 0.374 0.878 0.374


3.
Compound: Be2OsRh
Source: Alexandria via LeMat-Bulk
Functional: GGA-PBEsol
Structure: optimized geometry

Summary:
Crystal system ... orthorhombic
Space-group type ... Cmm2, No. 35
DFT total energy ... -6.87 eV per atom
Formation energy from the elements ... 223 meV/atom
Magnetization ... 0.0 Bohr magnetons per cell

a b c (Å): 2.595 2.595 7.800
angles (deg): 90.00 90.00 115.97
Atoms (fractional coordinates):
1 Rh 0.500 0.500 0.222
2 Os 0.000 0.000 0.522
3 Be 0.000 0.000 0.995
4 Be 0.500 0.500 0.760


4.
Compound: BeOsRh2
Source: Alexandria via LeMat-Bulk
Functional: GGA-PBEsol
Structure: optimized geometry

Summary:
Crystal system ... tetragonal
Space-group type ... P4/mmm, No. 123
DFT total energy ... -8.40 eV per atom
Formation energy from the elements ... -275 meV/atom
Magnetization ... 0.0 Bohr magnetons per cell

a b c (Å): 2.698 2.698 6.605
angles (deg): 90.00 90.00 90.00
Atoms (fractional coordinates):
1 Os 0.500 0.500 0.500
2 Rh 0.000 0.000 0.784
3 Rh 0.000 0.000 0.216
4 Be 0.500 0.500 0.000


5.
Compound: Be2OsRh
Source: Alexandria via LeMat-Bulk
Functional: GGA-PBEsol
Structure: optimized geometry

Summary:
Crystal system ... monoclinic
Space-group type ... P2/m, No. 10
DFT total energy ... -7.21 eV per atom
Formation energy from the elements ... -122 meV/atom
Magnetization ... 0.0 Bohr magnetons per cell

a b c (Å): 2.594 3.564 4.880
angles (deg): 90.00 91.28 90.00
Atoms (fractional coordinates):
1 Rh 0.000 0.500 0.500
2 Os 0.500 0.500 0.000
3 Be 0.956 0.000 0.777
4 Be 0.044 0.000 0.223


6.
Compound: Be2OsRh
Source: Alexandria via LeMat-Bulk
Functional: GGA-PBEsol
Structure: optimized geometry

Summary:
Crystal system ... tetragonal
Space-group type ... P4mm, No. 99
DFT total energy ... -7.34 eV per atom
Formation energy from the elements ... -248 meV/atom
Magnetization ... 0.0 Bohr magnetons per cell

a b c (Å): 2.748 2.748 5.653
angles (deg): 90.00 90.00 90.00
Atoms (fractional coordinates):
1 Rh 0.500 0.500 0.790
2 Os 0.000 0.000 0.463
3 Be 0.000 0.000 0.028
4 Be 0.500 0.500 0.219


7.
Compound: BeOsRh3
Source: Alexandria via LeMat-Bulk
Functional: GGA-PBEsol
Structure: optimized geometry

Summary:
Crystal system ... cubic
Space-group type ... Pm-3m, No. 221
DFT total energy ... -6.35 eV per atom
Formation energy from the elements ... 1774 meV/atom
Magnetization ... 0.0 Bohr magnetons per cell

a b c (Å): 4.612 4.612 4.612
angles (deg): 90.00 90.00 90.00
Atoms (fractional coordinates):
1 Rh 0.000 0.500 0.000
2 Rh 0.000 0.000 0.500
3 Rh 0.500 0.000 0.000
4 Os 0.000 0.000 0.000
5 Be 0.500 0.500 0.500


8.
Compound: Be2OsRu2
Source: Alexandria via LeMat-Bulk
Functional: GGA-PBEsol
Structure: optimized geometry

Summary:
Crystal system ... tetragonal
Space-group type ... P4/mbm, No. 127
DFT total energy ... -8.24 eV per atom
Formation energy from the elements ... -133 meV/atom
Magnetization ... 0.0 Bohr magnetons per cell

a b c (Å): 2.833 6.239 6.239
angles (deg): 90.00 90.00 90.00
Atoms (fractional coordinates):
1 Ru 0.500 0.167 0.667
2 Ru 0.500 0.667 0.833
3 Ru 0.500 0.833 0.333
4 Ru 0.500 0.333 0.167
5 Os 0.000 0.000 0.000
6 Os 0.000 0.500 0.500
7 Be 0.000 0.374 0.874
8 Be 0.000 0.874 0.626
9 Be 0.000 0.626 0.126
10 Be 0.000 0.126 0.374


9.
Compound: Be4OsRu
Source: Alexandria via LeMat-Bulk
Functional: GGA-PBEsol
Structure: optimized geometry

Summary:
Crystal system ... cubic
Space-group type ... F-43m, No. 216
DFT total energy ... -6.70 eV per atom
Formation energy from the elements ... -299 meV/atom
Magnetization ... 0.0 Bohr magnetons per cell

a b c (Å): 4.306 4.306 4.306
angles (deg): 60.00 60.00 60.00
Atoms (fractional coordinates):
1 Ru 0.000 0.000 0.000
2 Os 0.750 0.750 0.750
3 Be 0.376 0.376 0.376
4 Be 0.376 0.376 0.873
5 Be 0.873 0.376 0.376
6 Be 0.376 0.873 0.376


10.
Compound: Be3OsS
Source: Alexandria via LeMat-Bulk
Functional: GGA-PBEsol
Structure: optimized geometry

Summary:
Crystal system ... cubic
Space-group type ... Pm-3m, No. 221
DFT total energy ... -4.69 eV per atom
ΔE_f (raw) ... 1031 meV per atom
Magnetization ... 0.0 Bohr magnetons per cell

a b c (Å): 4.191 4.191 4.191
angles (deg): 90.00 90.00 90.00
Atoms (fractional coordinates):
1 Be 0.000 0.500 0.000
2 Be 0.000 0.000 0.500
3 Be 0.500 0.000 0.000
4 S 0.500 0.500 0.500
5 Os 0.000 0.000 0.000


11.
Compound: BeSb3Os
Source: Alexandria via LeMat-Bulk
Functional: GGA-PBEsol
Structure: optimized geometry

Summary:
Crystal system ... cubic
Space-group type ... Pm-3m, No. 221
DFT total energy ... -4.78 eV per atom
ΔE_f (raw) ... 1194 meV per atom
Magnetization ... 0.0 Bohr magnetons per cell

a b c (Å): 4.659 4.659 4.659
angles (deg): 90.00 90.00 90.00
Atoms (fractional coordinates):
1 Sb 0.000 0.500 0.000
2 Sb 0.000 0.000 0.500
3 Sb 0.500 0.000 0.000
4 Os 0.500 0.500 0.500
5 Be 0.000 0.000 0.000


12.
Compound: BeSb2Os
Source: Alexandria via LeMat-Bulk
Functional: GGA-PBEsol
Structure: optimized geometry

Summary:
Crystal system ... orthorhombic
Space-group type ... Cmmm, No. 65
DFT total energy ... -5.66 eV per atom
ΔE_f (raw) ... 674 meV per atom
Magnetization ... 0.0 Bohr magnetons per cell

a b c (Å): 3.242 4.691 4.691
angles (deg): 103.61 90.00 90.00
Atoms (fractional coordinates):
1 Sb 0.000 0.000 0.500
2 Sb 0.000 0.500 0.000
3 Os 0.500 0.000 0.000
4 Be 0.500 0.500 0.500


We obtain N(E_F) values of 3.1 2.6 2.9 1.4 1.6 2.5 4.4 7.5 3.5 2.5 5.3 2.2 states/eV/cell for the records listed above, in that order.